# Dy4CoTe

An optimized crystal structure of Dy4CoTe (PBE-GGA, Alexandria).

The space group is Pnma (No. 62) and the conventional cell measures 8.244, 3.863 and 19.399 Å, with angles of 90.00, 90.00 and 90.00 degrees. Symmetry generates all atoms from Dy at (0.021, 0.250, 0.068), Dy at (0.045, 0.750, 0.217), Dy at (0.136, 0.750, 0.646), Dy at (0.145, 0.750, 0.454), Co at (0.231, 0.250, 0.552) and Te at (0.247, 0.250, 0.314).

Its uncorrected formation energy is -0.545 eV/atom. The value obtained for the total moment is 0.0 μB per cell.

# Dy3CoTe

An optimized crystal structure of Dy3CoTe (PBE-GGA, Alexandria).

The space group is P2_1/m (No. 11) and the conventional cell measures 8.119, 3.933 and 8.446 Å, with angles of 90.00, 106.43 and 90.00 degrees. Symmetry generates all atoms from Dy at (0.065, 0.250, 0.249), Dy at (0.303, 0.250, 0.930), Dy at (0.309, 0.750, 0.593), Co at (0.059, 0.250, 0.581) and Te at (0.383, 0.750, 0.239).

Its uncorrected formation energy is -0.645 eV/atom. The value obtained for the total moment is 0.0 μB per cell.

Question: What is the formula in the second record?
Answer: Dy3CoTe

Question: Look up the total moment of the first one.
Answer: 0.0 μB per cell